DFT (PBE-GGA) results for a relaxed Tm2HfSc3 crystal.

Values from the calculation:
E_tot: -0.4577 Ry/atom
E_form: 87 meV/atom
Total magnetic moment: 0.0 μB/cell

Cell: 8.412 8.972 8.418 Å, 90.00 103.85 90.00°
Space group C2/c (No. 15)
Unique sites:
Tm (0.127, 0.246, 0.123)
Hf (0.000, 0.088, 0.750)
Sc (0.000, 0.416, 0.750)
Sc (0.242, 0.080, 0.494)

---

DFT (PBE-GGA) results for a relaxed TmHf2Sc crystal.

Values from the calculation:
E_tot: -0.5552 Ry/atom
Offset from the most stable computed form: 0.040 eV per atom
E_form: 123 meV/atom
Total magnetic moment: 0.0 μB/cell

Cell: 4.558 4.558 4.639 Å, 90.00 90.00 90.00°
Space group P4/mmm (No. 123)
Unique sites:
Tm (0.000, 0.000, 0.000)
Hf (0.000, 0.500, 0.500)
Sc (0.500, 0.500, 0.000)

---

DFT (PBE-GGA) results for a relaxed TmHfSc4 crystal.

Values from the calculation:
E_tot: -0.4864 Ry/atom
Offset from the most stable computed form: 0.000 eV per atom
E_form: 8 meV/atom
Total magnetic moment: 0.0 μB/cell

Cell: 5.161 3.312 17.429 Å, 90.00 90.00 90.00°
Space group Amm2 (No. 38)
Unique sites:
Tm (0.000, 0.000, 0.000)
Hf (0.500, 0.000, 0.777)
Sc (0.000, 0.000, 0.329)
Sc (0.000, 0.000, 0.670)
Sc (0.500, 0.000, 0.116)
Sc (0.500, 0.000, 0.436)

---

DFT (PBE-GGA) results for a relaxed TmHfSc2 crystal.

Values from the calculation:
E_tot: -0.4836 Ry/atom
Offset from the most stable computed form: 0.136 eV per atom
E_form: 193 meV/atom
Total magnetic moment: 2.2 μB/cell

Cell: 7.358 7.358 7.358 Å, 90.00 90.00 90.00°
Space group Fm-3m (No. 225)
Unique sites:
Tm (0.000, 0.000, 0.000)
Hf (0.000, 0.000, 0.500)
Sc (0.250, 0.250, 0.250)

---

DFT (PBE-GGA) results for a relaxed TmHf2Sc crystal.

Values from the calculation:
E_tot: -0.5569 Ry/atom
Offset from the most stable computed form: 0.017 eV per atom
E_form: 100 meV/atom
Total magnetic moment: 0.0 μB/cell

Cell: 3.2615 3.2615 31.5030 Å, 90.00 90.00 120.00°
Space group R3m (No. 160, hexagonal axes)
Unique sites:
Tm (0.0000, 0.0000, 0.0000)
Hf (0.0000, 0.0000, 0.2482)
Hf (0.0000, 0.0000, 0.4182)
Sc (0.0000, 0.0000, 0.8338)

---

DFT (PBE-GGA) results for a relaxed Tm2HfSc6 crystal.

Values from the calculation:
E_tot: -0.4597 Ry/atom
Offset from the most stable computed form: 0.021 eV per atom
E_form: 66 meV/atom
Total magnetic moment: 2.6 μB/cell

Cell: 3.3228 3.3228 24.0693 Å, 90.00 90.00 120.00°
Space group P-6m2 (No. 187)
Unique sites:
Tm (0.0000, 0.0000, 0.1748)
Hf (0.6667, 0.3333, 0.5000)
Sc (0.0000, 0.0000, 0.3972)
Sc (0.6667, 0.3333, 0.0628)
Sc (0.6667, 0.3333, 0.2886)

---

DFT (PBE-GGA) results for a relaxed Tm4Hf6Sc19 crystal.

Values from the calculation:
E_tot: -0.4950 Ry/atom
E_form: 89 meV/atom
Total magnetic moment: 0.0 μB/cell

Cell: 8.126 8.390 11.184 Å, 73.43 80.47 85.48°
Space group P1 (No. 1)
Unique sites:
Tm (0.000, 0.000, 0.000)
Tm (0.090, 0.222, 0.357)
Tm (0.328, 0.348, 0.561)
Tm (0.748, 0.541, 0.998)
Hf (0.312, 0.028, 0.159)
Hf (0.460, 0.068, 0.386)
Hf (0.639, 0.206, 0.968)
Hf (0.761, 0.017, 0.523)
Hf (0.780, 0.668, 0.696)
Hf (0.960, 0.517, 0.490)
Sc (0.040, 0.082, 0.669)
Sc (0.078, 0.711, 0.838)
Sc (0.123, 0.345, 0.039)
Sc (0.155, 0.801, 0.536)
Sc (0.306, 0.651, 0.310)
Sc (0.346, 0.143, 0.860)
Sc (0.359, 0.760, 0.010)
Sc (0.426, 0.372, 0.161)
Sc (0.427, 0.910, 0.679)
Sc (0.435, 0.512, 0.829)
Sc (0.595, 0.708, 0.481)
Sc (0.648, 0.836, 0.172)
Sc (0.675, 0.409, 0.358)
Sc (0.691, 0.304, 0.671)
Sc (0.708, 0.928, 0.842)
Sc (0.779, 0.173, 0.201)
Sc (0.965, 0.870, 0.316)
Sc (0.993, 0.373, 0.788)
Sc (0.998, 0.606, 0.181)

---

DFT (PBE-GGA) results for a relaxed TmHfSc4 crystal.

Values from the calculation:
E_tot: -0.4773 Ry/atom
Offset from the most stable computed form: 0.124 eV per atom
E_form: 132 meV/atom
Total magnetic moment: 0.0 μB/cell

Cell: 8.233 13.208 5.976 Å, 90.00 109.81 90.00°
Space group C2/c (No. 15)
Unique sites:
Tm (0.000, 0.087, 0.250)
Hf (0.000, 0.498, 0.750)
Sc (0.094, 0.311, 0.535)
Sc (0.212, 0.127, 0.875)